Entry 1:
VASP calculation (GGA-PBE) on a geometry-optimized CaMgNi10 structure.

abc: 3.974 4.812 8.355
angles: 90.00 90.00 90.00
Each line ends with the local moment (μB).
Positions (direct):
Ca  0.000  0.000  0.000  -0.03
Mg  0.000  0.500  0.500  -0.01
Ni  0.000  0.000  0.342  0.40
Ni  0.000  0.500  0.821  0.41
Ni  0.000  0.500  0.179  0.41
Ni  0.000  0.000  0.658  0.40
Ni  0.500  0.000  0.500  0.47
Ni  0.500  0.500  0.000  0.53
Ni  0.500  0.253  0.255  0.51
Ni  0.500  0.747  0.745  0.51
Ni  0.500  0.747  0.255  0.51
Ni  0.500  0.253  0.745  0.51

---

Entry 2:
VASP calculation (GGA-PBE) on a geometry-optimized CaMg3Ni structure.

abc: 5.875 5.875 5.875
angles: 90.00 90.00 90.00
Positions (direct):
Ni  0.500  0.500  0.500
Ca  0.000  0.000  0.000
Mg  0.000  0.500  0.000
Mg  0.000  0.000  0.500
Mg  0.500  0.000  0.000

## Properties
Offset from the most stable computed form (meV per atom): 1611

---

Entry 3:
VASP calculation (GGA-PBE) on a geometry-optimized CaMgNi structure.

abc: 4.636 4.636 4.636
angles: 60.00 60.00 60.00
Positions (direct):
Ca  0.000  0.000  0.000
Mg  0.500  0.500  0.500
Ni  0.750  0.750  0.750

---

Entry 4:
VASP calculation (GGA-PBE) on a geometry-optimized CaMgNi structure.

abc: 6.023 6.859 7.303
angles: 90.00 90.00 116.04
Positions (direct):
Ca  0.808  0.616  0.396
Ca  0.692  0.384  0.896
Ca  0.192  0.384  0.604
Ca  0.308  0.616  0.104
Mg  0.292  0.083  0.250
Mg  0.208  0.917  0.750
Mg  0.708  0.917  0.750
Mg  0.792  0.083  0.250
Ni  0.591  0.182  0.539
Ni  0.909  0.818  0.039
Ni  0.409  0.818  0.461
Ni  0.091  0.182  0.961

---

Entry 5:
VASP calculation (GGA-PBE) on a geometry-optimized CaMg3Ni8 structure.

abc: 4.894 4.894 8.459
angles: 73.18 73.18 60.00
Positions (direct):
Ca  0.875  0.875  0.374
Mg  0.374  0.374  0.877
Mg  0.003  0.003  0.992
Mg  0.496  0.496  0.512
Ni  0.942  0.439  0.181
Ni  0.432  0.937  0.693
Ni  0.439  0.439  0.181
Ni  0.937  0.937  0.693
Ni  0.187  0.187  0.439
Ni  0.688  0.688  0.937
Ni  0.439  0.942  0.181
Ni  0.937  0.432  0.693

---

Entry 6:
VASP calculation (GGA-PBE) on a geometry-optimized CaMgNi2 structure.

abc: 4.573 4.573 4.573
angles: 60.00 60.00 60.00
Positions (direct):
Ca  0.500  0.500  0.500
Mg  0.250  0.250  0.250
Ni  0.000  0.000  0.000
Ni  0.750  0.750  0.750

---

Entry 7:
VASP calculation (GGA-PBE) on a geometry-optimized CaMgNi structure.

abc: 4.788 4.788 4.788
angles: 60.00 60.00 60.00
Positions (direct):
Ca  0.750  0.750  0.750
Mg  0.000  0.000  0.000
Ni  0.500  0.500  0.500

---

Entry 8:
VASP calculation (GGA-PBE) on a geometry-optimized CaMg7Ni5 structure.

abc: 5.294 6.967 6.967
angles: 81.59 67.67 67.67
Positions (direct):
Ca  0.021  0.979  0.979
Mg  0.671  0.329  0.329
Mg  0.342  0.658  0.658
Mg  0.982  0.359  0.677
Mg  0.982  0.677  0.359
Mg  0.269  0.231  0.231
Mg  0.508  0.787  0.196
Mg  0.508  0.196  0.787
Ni  0.489  0.998  0.509
Ni  0.004  0.998  0.509
Ni  0.489  0.509  0.998
Ni  0.004  0.509  0.998
Ni  0.729  0.771  0.771

---

Entry 9:
VASP calculation (GGA-PBE) on a geometry-optimized Ca2MgNi9 structure.

abc: 8.573 8.573 8.573
angles: 33.35 33.36 33.36
Each line ends with the local moment (μB).
Positions (direct):
Ca  0.139  0.139  0.139  -0.03
Ca  0.861  0.861  0.861  -0.03
Mg  0.000  0.000  0.000  0.00
Ni  0.333  0.332  0.332  0.48
Ni  0.667  0.668  0.668  0.48
Ni  0.500  0.500  0.500  0.22
Ni  0.082  0.579  0.579  0.37
Ni  0.579  0.082  0.579  0.37
Ni  0.579  0.579  0.082  0.37
Ni  0.918  0.421  0.421  0.37
Ni  0.421  0.421  0.918  0.37
Ni  0.421  0.918  0.421  0.37

---

Entry 10:
VASP calculation (GGA-PBE) on a geometry-optimized Ca2Mg3Ni2 structure.

abc: 4.165 5.653 7.552
angles: 68.72 73.99 68.39
Positions (direct):
Ca  0.145  0.500  0.210
Ca  0.855  0.500  0.790
Mg  0.500  0.000  0.000
Mg  0.361  0.841  0.437
Mg  0.639  0.159  0.563
Ni  0.139  0.926  0.796
Ni  0.861  0.074  0.204

---

Entry 11:
VASP calculation (GGA-PBE) on a geometry-optimized CaMg9Ni2 structure.

abc: 9.925 9.926 9.926
angles: 33.75 33.75 33.75
Positions (direct):
Ni  0.157  0.157  0.157
Ni  0.843  0.843  0.843
Ca  0.000  0.000  0.000
Mg  0.334  0.334  0.334
Mg  0.666  0.666  0.666
Mg  0.500  0.500  0.500
Mg  0.081  0.599  0.599
Mg  0.599  0.081  0.599
Mg  0.599  0.599  0.081
Mg  0.919  0.401  0.401
Mg  0.401  0.401  0.919
Mg  0.401  0.919  0.401

---

Entry 12:
VASP calculation (GGA-PBE) on a geometry-optimized Ca5Mg2Ni2 structure.

abc: 7.480 7.535 9.774
angles: 90.00 67.50 90.00
Positions (direct):
Ca  0.000  0.000  0.000
Ca  0.500  0.500  0.000
Ca  0.435  0.179  0.774
Ca  0.792  0.821  0.774
Ca  0.292  0.679  0.774
Ca  0.935  0.321  0.774
Ca  0.565  0.821  0.226
Ca  0.208  0.179  0.226
Ca  0.708  0.321  0.226
Ca  0.065  0.679  0.226
Mg  0.230  0.000  0.540
Mg  0.730  0.500  0.540
Mg  0.770  0.000  0.460
Mg  0.270  0.500  0.460
Ni  0.110  0.390  0.000
Ni  0.890  0.610  0.000
Ni  0.390  0.890  0.000
Ni  0.610  0.110  0.000

---

It is found that the energy of formation values, taken in the order of the records, are -0.058, 1.478, 0.021, -0.127, -0.203, 0.171, 0.621, -0.135, -0.112, -0.145, 0.247, -0.050 eV per atom.
It is found that the DFT total energy values, taken in the order of the records, are -5.1754, -1.0353, -3.1046, -3.2533, -4.6227, -3.6183, -2.5052, -3.3714, -4.9146, -3.0525, -2.0789, -2.8011 eV/atom.